Tb5Ce2Ho2: optimized geometry, PBE-GGA.

Cell: 5.584 8.757 8.885 Å, 44.09 71.68 71.41°
Positions (direct):
Ho 0.563 0.649 0.225
Ho 0.437 0.351 0.775
Tb 0.793 0.360 0.053
Tb 0.321 0.005 0.352
Tb 0.679 0.995 0.648
Tb 0.000 0.000 0.000
Tb 0.207 0.640 0.947
Ce 0.077 0.332 0.515
Ce 0.923 0.668 0.485

Summary:
Energy of formation in eV/atom: 0.118
Space-group type: C2/m
D(E_F) in states/eV per cell: 17.41

MgNi2BiP: optimized geometry, PBE-GGA.

Cell: 4.782 5.367 4.782 Å, 90.00 90.00 90.00°
Positions (direct):
Ni 0.500 0.000 0.000
Ni 0.000 0.000 0.500
P 0.500 0.500 0.500
Mg 0.000 0.500 0.000
Bi 0.000 0.000 0.000

Summary:
Energy of formation in eV/atom: 1.153
Relative energy among the computed polymorphs in eV/f.u.: 4.887
Space-group type: P4/mmm
D(E_F) in states/eV per cell: 5.20

Number 2 is which compound?
MgNi2BiP

Repeat the second record exactly.
MgNi2BiP: optimized geometry, PBE-GGA.

Cell: 4.782 5.367 4.782 Å, 90.00 90.00 90.00°
Positions (direct):
Ni 0.500 0.000 0.000
Ni 0.000 0.000 0.500
P 0.500 0.500 0.500
Mg 0.000 0.500 0.000
Bi 0.000 0.000 0.000

Summary:
Energy of formation in eV/atom: 1.153
Relative energy among the computed polymorphs in eV/f.u.: 4.887
Space-group type: P4/mmm
D(E_F) in states/eV per cell: 5.20

Please write out number 2 again, unchanged.
MgNi2BiP: optimized geometry, PBE-GGA.

Cell: 4.782 5.367 4.782 Å, 90.00 90.00 90.00°
Positions (direct):
Ni 0.500 0.000 0.000
Ni 0.000 0.000 0.500
P 0.500 0.500 0.500
Mg 0.000 0.500 0.000
Bi 0.000 0.000 0.000

Summary:
Energy of formation in eV/atom: 1.153
Relative energy among the computed polymorphs in eV/f.u.: 4.887
Space-group type: P4/mmm
D(E_F) in states/eV per cell: 5.20